## Na13Hg2 (PBE)

Data for Na13Hg2 after structural relaxation.

Computed properties:
energy relative to the lowest polymorph listed for this composition: 40 meV/atom
space group: No. 166
energy: -18.1 eV per cell
energy of formation: -2 kJ per mole of atoms

a b c (Å): 9.353 9.353 8.803
angles (deg): 57.91 57.91 60.00
Atoms (fractional coordinates):
1 Na 0.988 0.370 0.272
2 Na 0.370 0.988 0.272
3 Na 0.199 0.199 0.796
4 Na 0.500 0.500 0.500
5 Na 0.806 0.199 0.796
6 Na 0.370 0.370 0.272
7 Na 0.012 0.630 0.728
8 Na 0.801 0.194 0.204
9 Na 0.194 0.801 0.204
10 Na 0.801 0.801 0.204
11 Na 0.199 0.806 0.796
12 Na 0.630 0.630 0.728
13 Na 0.630 0.012 0.728
14 Hg 0.357 0.357 0.930
15 Hg 0.643 0.643 0.070


## CuSi (PBE)

Data for CuSi after structural relaxation.

Computed properties:
ΔE_f (raw): 0.173 eV per atom
space group: No. 141
energy: -18.3 eV per cell

a b c (Å): 4.593 4.593 4.593
angles (deg): 132.35 132.35 69.67
Atoms (fractional coordinates):
1 Cu 0.000 0.000 0.000
2 Cu 0.250 0.750 0.500
3 Si 0.500 0.500 0.000
4 Si 0.750 0.250 0.500


## ThMgCu2Ge2 (PBE)

Data for ThMgCu2Ge2 after structural relaxation.

Computed properties:
space group: No. 164
energy: -29.3 eV per cell
energy of formation: -46 kJ per mole of atoms

a b c (Å): 4.235 4.235 7.093
angles (deg): 90.00 90.00 120.00
Atoms (fractional coordinates):
1 Ge 0.667 0.333 0.738
2 Ge 0.333 0.667 0.262
3 Th 0.000 0.000 0.000
4 Cu 0.333 0.667 0.694
5 Cu 0.667 0.333 0.306
6 Mg 0.000 0.000 0.500


## TbPr3Sm7 (PBE)

Data for TbPr3Sm7 after structural relaxation.

Computed properties:
energy relative to the lowest polymorph listed for this composition: 0 meV/atom
space group: No. 156
energy: -50.2 eV per cell
energy of formation: 16 kJ per mole of atoms

a b c (Å): 8.817 7.213 7.213
angles (deg): 120.00 90.00 90.00
Atoms (fractional coordinates):
1 Sm 0.119 0.167 0.833
2 Sm 0.448 0.334 0.167
3 Sm 0.448 0.833 0.167
4 Sm 0.119 0.167 0.335
5 Sm 0.119 0.665 0.833
6 Sm 0.123 0.667 0.333
7 Sm 0.448 0.833 0.666
8 Pr 0.783 0.500 0.500
9 Pr 0.783 0.500 0.000
10 Pr 0.783 0.000 0.500
11 Tb 0.443 0.333 0.667


## Pu2GaGe (PBE)

Data for Pu2GaGe after structural relaxation.

Computed properties:
space group: No. 166
energy: -36.7 eV per cell
energy of formation: -8 kJ per mole of atoms

a b c (Å): 3.418 3.418 9.610
angles (deg): 79.76 79.76 60.00
Each line ends with the local moment (μB).
Atoms (fractional coordinates):
1 Pu 0.253 0.253 0.241  5.36
2 Pu 0.747 0.747 0.759  5.36
3 Ge 0.000 0.000 0.000  -0.05
4 Ga 0.500 0.500 0.500  -0.02


## LiB2C (PBE)

Data for LiB2C after structural relaxation.

Computed properties:
space group: No. 122
energy: -43.0 eV per cell
energy of formation: 73 kJ per mole of atoms

a b c (Å): 4.774 4.774 4.861
angles (deg): 60.59 60.59 90.00
Atoms (fractional coordinates):
1 B 0.875 0.019 0.750
2 B 0.981 0.625 0.250
3 B 0.769 0.125 0.250
4 B 0.375 0.231 0.750
5 Li 0.500 0.500 0.000
6 Li 0.250 0.750 0.500
7 C 0.000 0.000 0.000
8 C 0.750 0.250 0.500


## Ta2BeFe (PBE)

Data for Ta2BeFe after structural relaxation.

Computed properties:
space group: No. 65
energy: -35.9 eV per cell
energy of formation: -1 kJ per mole of atoms

a b c (Å): 4.109 4.109 3.328
angles (deg): 90.00 90.00 90.99
Each line ends with the local moment (μB).
Atoms (fractional coordinates):
1 Ta 0.000 0.000 0.000  -0.01
2 Ta 0.500 0.500 0.000  -0.01
3 Fe 0.000 0.500 0.500  1.31
4 Be 0.500 0.000 0.500  0.00


## TlFeOs (PBE)

Data for TlFeOs after structural relaxation.

Computed properties:
energy relative to the lowest polymorph listed for this composition: 202 meV/atom
space group: No. 156
energy: -19.6 eV per cell
energy of formation: 81 kJ per mole of atoms

a b c (Å): 4.282 4.282 3.180
angles (deg): 90.00 90.00 120.00
Each line ends with the local moment (μB).
Atoms (fractional coordinates):
1 Tl 0.667 0.333 0.676  -0.01
2 Fe 0.000 0.000 0.126  2.44
3 Os 0.333 0.667 0.198  0.47


## GaHgAu4 (PBE)

Data for GaHgAu4 after structural relaxation.

Computed properties:
energy relative to the lowest polymorph listed for this composition: 0 meV/atom
space group: No. 123
energy: -16.4 eV per cell
energy of formation: 1 kJ per mole of atoms

a b c (Å): 3.186 3.188 10.977
angles (deg): 90.00 90.00 90.00
Atoms (fractional coordinates):
1 Au 0.500 0.000 0.820
2 Au 0.000 0.500 0.648
3 Au 0.000 0.500 0.352
4 Au 0.500 0.000 0.180
5 Ga 0.500 0.000 0.500
6 Hg 0.000 0.500 0.000


## MgOsN2 (PBE)

Data for MgOsN2 after structural relaxation.

Computed properties:
ΔE_f (raw): 0.022 eV per atom
space group: No. 122
energy: -58.8 eV per cell

a b c (Å): 4.584 4.584 5.854
angles (deg): 66.95 66.95 90.00
Atoms (fractional coordinates):
1 Mg 0.250 0.750 0.500
2 Mg 0.500 0.500 0.000
3 N 0.375 0.342 0.750
4 N 0.658 0.125 0.250
5 N 0.875 0.908 0.750
6 N 0.092 0.625 0.250
7 Os 0.750 0.250 0.500
8 Os 0.000 0.000 0.000


## BaSr14Li (PBE)

Data for BaSr14Li after structural relaxation.

Computed properties:
space group: No. 123
energy: -27.0 eV per cell
energy of formation: 2 kJ per mole of atoms

a b c (Å): 8.575 8.575 11.671
angles (deg): 90.00 90.00 90.00
Atoms (fractional coordinates):
1 Sr 0.130 0.130 0.254
2 Sr 0.375 0.875 0.000
3 Sr 0.375 0.875 0.500
4 Sr 0.875 0.875 0.000
5 Sr 0.875 0.375 0.500
6 Sr 0.375 0.375 0.000
7 Sr 0.620 0.620 0.746
8 Sr 0.620 0.130 0.254
9 Sr 0.130 0.130 0.746
10 Sr 0.130 0.620 0.254
11 Sr 0.620 0.130 0.746
12 Sr 0.875 0.375 0.000
13 Sr 0.130 0.620 0.746
14 Sr 0.620 0.620 0.254
15 Ba 0.875 0.875 0.500
16 Li 0.375 0.375 0.500


## Tb8Nd2Mg (PBE)

Data for Tb8Nd2Mg after structural relaxation.

Computed properties:
energy relative to the lowest polymorph listed for this composition: 27 meV/atom
space group: No. 12
energy: -46.7 eV per cell
energy of formation: 13 kJ per mole of atoms

a b c (Å): 6.726 10.011 10.011
angles (deg): 38.88 59.72 59.72
Atoms (fractional coordinates):
1 Tb 0.729 0.594 0.594
2 Tb 0.821 0.245 0.245
3 Tb 0.179 0.755 0.755
4 Tb 0.775 0.658 0.180
5 Tb 0.775 0.180 0.658
6 Tb 0.225 0.820 0.342
7 Tb 0.225 0.342 0.820
8 Tb 0.271 0.406 0.406
9 Nd 0.421 0.186 0.186
10 Nd 0.579 0.814 0.814
11 Mg 0.000 0.000 0.000